Entry 1:
! PmB2OsO8 (PBE, optimized geometry); values from VASP
! * formation energy without anion corrections: -22.3 eV per formula unit
! * symmetry: P-3m1
! * mass density: 5847 kg/m3
! * V: 11.48 Å³/atom
&SYSTEM
  ibrav = 0, nat = 12, ntyp = 4
/
ATOMIC_SPECIES
Pm 145.00 Pm.upf
B 10.81 B.upf
Os 190.23 Os.upf
O 16.00 O.upf
CELL_PARAMETERS angstrom
-2.138 3.751 -2.346
-2.580 -2.682 3.209
1.810 4.068 4.855
ATOMIC_POSITIONS crystal
Pm 0.000 0.000 0.500
B 0.667 0.333 0.264
B 0.333 0.667 0.736
Os 0.000 0.000 0.000
O 0.828 0.172 0.180
O 0.828 0.655 0.180
O 0.345 0.172 0.180
O 0.655 0.828 0.820
O 0.333 0.667 0.524
O 0.667 0.333 0.476
O 0.172 0.828 0.820
O 0.172 0.345 0.820


Entry 2:
! PuCrC (PBE, optimized geometry); values from VASP
! * E above lowest polymorph: 0.0 meV/atom
! * symmetry: Pnma
! * mass density: 11292 kg/m3
! * V: 15.10 Å³/atom
&SYSTEM
  ibrav = 0, nat = 12, ntyp = 3
/
ATOMIC_SPECIES
Pu 244.00 Pu.upf
Cr 52.00 Cr.upf
C 12.01 C.upf
CELL_PARAMETERS angstrom
3.786 0.000 0.000
0.000 5.309 0.000
0.000 0.000 9.015
ATOMIC_POSITIONS crystal
Pu 0.250 0.047 0.675
Pu 0.250 0.453 0.175
Pu 0.750 0.953 0.325
Pu 0.750 0.547 0.825
Cr 0.250 0.614 0.539
Cr 0.250 0.886 0.039
Cr 0.750 0.386 0.461
Cr 0.750 0.114 0.961
C 0.250 0.219 0.934
C 0.250 0.281 0.434
C 0.750 0.781 0.066
C 0.750 0.719 0.566